First-principles (PBE) data for a relaxed structure of Dy3Mn5Se12, as listed in the Alexandria database.

Cell lengths 15.719, 15.719, 15.719 Å; angles 90.00, 90.00, 90.00 degrees
Space group Ia-3d (No. 230)
One atom of each set of equivalent atoms:
Dy 0.000 0.250 0.125 [24 per cell]
Mn 0.000 0.000 0.000 [16 per cell]
Mn 0.000 0.250 0.375 [24 per cell]
Se 0.025 0.059 0.649 [96 per cell]


First-principles (PBE) data for a relaxed structure of LaTh, as listed in the Alexandria database.

Cell lengths 3.615, 3.615, 10.445 Å; angles 90.00, 90.00, 90.00 degrees
Space group P4/nmm (No. 129, origin choice 2)
One atom of each set of equivalent atoms:
La 0.250 0.250 0.143 [2 per cell]
Th 0.250 0.250 0.615 [2 per cell]

Properties
Excess energy over the best structure of this formula in the dataset ... 0.0 meV/atom


First-principles (PBE) data for a relaxed structure of Ni2Sb2I, as listed in the Alexandria database.

Cell lengths 4.463, 4.463, 11.659 Å; angles 90.00, 90.00, 90.00 degrees
Space group I4/mmm (No. 139)
One atom of each set of equivalent atoms:
Ni 0.000 0.000 0.135 [4 per cell]
Sb 0.000 0.500 0.250 [4 per cell]
I 0.000 0.000 0.500 [2 per cell]


no.,D(E_F) (states/eV/f.u.),VASP energy (eV for the cell shown)
1,5.86,-955.4
2,3.21,-24.6
3,4.85,-40.1